A relaxed structure of Rb2TcMoF6. Source: Alexandria, functional PBE with a Hubbard U.

```
Rb2TcMoF6
1.0
6.427 0.000 0.000
0.000 6.427 0.000
3.213 3.213 4.777
F Tc Rb Mo
6 1 2 1
Direct
0.778 0.778 0.444 F
0.262 0.738 0.000 F
0.738 0.262 0.000 F
0.738 0.738 0.000 F
0.222 0.222 0.556 F
0.262 0.262 0.000 F
0.000 0.000 0.000 Tc
0.750 0.250 0.500 Rb
0.250 0.750 0.500 Rb
0.500 0.500 0.000 Mo
```

Space-group type: I4/mmm (139)
D(E_F) (states/eV/f.u.): 0.0
Crystal system: tetragonal
DFT total energy (Ry per atom): -0.3746